(1)
Crystalline CrHg2Br at its relaxed geometry. Source: Alexandria via LeMat-Bulk, functional PBE.

Unit cell a=3.7583 b=3.7583 c=24.6849 alpha=90.00 beta=90.00 gamma=120.00
Positions (direct):
Cr (0.0000, 0.0000, 0.0000)
Cr (0.3333, 0.6667, 0.6667)
Cr (0.6667, 0.3333, 0.3333)
Hg (0.0000, 0.0000, 0.2566)
Hg (0.0000, 0.0000, 0.7434)
Hg (0.3333, 0.6667, 0.4100)
Hg (0.3333, 0.6667, 0.9233)
Hg (0.6667, 0.3333, 0.0767)
Hg (0.6667, 0.3333, 0.5900)
Br (0.0000, 0.0000, 0.5000)
Br (0.3333, 0.6667, 0.1667)
Br (0.6667, 0.3333, 0.8333)

Computed properties:
final energy = -33.812 eV/cell
total moment = 14.41 μB/cell
space group = R-3m
ΔE_f (raw) = 157 meV per atom

(2)
Crystalline BaNaInSn2 at its relaxed geometry. Source: Alexandria via LeMat-Bulk, functional PBE.

Unit cell a=4.9779 b=4.9779 c=13.0600 alpha=90.00 beta=90.00 gamma=90.00
Positions (direct):
Ba (0.0000, 0.0000, 0.0000)
Ba (0.5000, 0.5000, 0.5000)
Na (0.0000, 0.5000, 0.7500)
Na (0.5000, 0.0000, 0.2500)
In (0.0000, 0.5000, 0.2500)
In (0.5000, 0.0000, 0.7500)
Sn (0.0000, 0.0000, 0.3897)
Sn (0.0000, 0.0000, 0.6103)
Sn (0.5000, 0.5000, 0.1103)
Sn (0.5000, 0.5000, 0.8897)

Computed properties:
final energy = -31.837 eV/cell
total moment = 0.00 μB/cell
space group = I-4m2

(3)
Crystalline AcAlZnCu3 at its relaxed geometry. Source: Alexandria via LeMat-Bulk, functional PBE.

Unit cell a=6.9091 b=6.9091 c=6.0075 alpha=90.00 beta=90.00 gamma=125.30
Positions (direct):
Ac (0.2161, 0.7839, 0.7500)
Ac (0.7839, 0.2161, 0.2500)
Al (0.4777, 0.5223, 0.7500)
Al (0.5223, 0.4777, 0.2500)
Zn (0.1260, 0.8740, 0.2500)
Zn (0.8740, 0.1260, 0.7500)
Cu (0.1996, 0.1996, 0.0000)
Cu (0.1996, 0.1996, 0.5000)
Cu (0.3282, 0.6718, 0.2500)
Cu (0.6718, 0.3282, 0.7500)
Cu (0.8004, 0.8004, 0.0000)
Cu (0.8004, 0.8004, 0.5000)

Computed properties:
final energy = -43.592 eV/cell
total moment = 0.00 μB/cell
space group = Cmcm

(4)
Crystalline TbAl2Pd at its relaxed geometry. Source: Alexandria via LeMat-Bulk, functional PBE.

Unit cell a=3.1919 b=3.1919 c=7.3217 alpha=90.00 beta=90.00 gamma=90.00
Positions (direct):
Tb (0.0000, 0.0000, 0.0000)
Al (0.5000, 0.5000, 0.3035)
Al (0.5000, 0.5000, 0.6965)
Pd (0.0000, 0.0000, 0.5000)

Computed properties:
final energy = -19.793 eV/cell
total moment = 0.00 μB/cell
space group = P4/mmm

- The highest final energy belongs to which entry?
  TbAl2Pd